1.
VASP calculation (meta-GGA SCAN) on a PBEsol-optimized structure of Cs3CuB.

The space group is Pm-3m (No. 221) and the conventional cell measures 6.358, 6.358 and 6.358 Å, with angles of 90.00, 90.00 and 90.00 degrees. The inequivalent atoms are Cs at (0.000, 0.000, 0.500), Cu at (0.000, 0.000, 0.000) and B at (0.500, 0.500, 0.500).

For the total DFT energy (no corrections), the calculation gives -26.106 eV/atom.

***

2.
VASP calculation (meta-GGA SCAN) on a PBEsol-optimized structure of HfOsPt2Rh.

The space group is P4/mmm (No. 123) and the conventional cell measures 4.732, 4.732 and 4.468 Å, with angles of 90.00, 90.00 and 90.00 degrees. The inequivalent atoms are Hf at (0.000, 0.000, 0.000), Os at (0.500, 0.500, 0.000), Pt at (0.000, 0.500, 0.500) and Rh at (0.500, 0.500, 0.500).

For the total DFT energy (no corrections), the calculation gives -60.489 eV/atom.

***

3.
VASP calculation (meta-GGA SCAN) on a PBEsol-optimized structure of CaZrIn3.

The space group is Pm-3m (No. 221) and the conventional cell measures 5.442, 5.442 and 5.442 Å, with angles of 90.00, 90.00 and 90.00 degrees. The inequivalent atoms are Ca at (0.000, 0.000, 0.000), Zr at (0.500, 0.500, 0.500) and In at (0.000, 0.500, 0.500).

For the total DFT energy (no corrections), the calculation gives -28.046 eV/atom.

***

no.,size of the total moment (μB per formula unit),DOS at the Fermi energy (states/eV per cell),formation enthalpy at 0 K (eV per atom)
1,3.0,2.39,1.11
2,0.0,4.45,1.25
3,0.0,4.12,0.06